# 1
# EuSn5

A relaxed structure of EuSn5 (PBE, Alexandria via LeMat-Bulk).

abc: 7.8307 7.8307 4.5546
angles: 90.00 90.00 143.54
Positions (direct):
Eu: 0.0000 0.0000 0.0000
Sn: 0.1722 0.8278 0.5000
Sn: 0.3381 0.6619 0.0000
Sn: 0.5000 0.5000 0.5000
Sn: 0.6619 0.3381 0.0000
Sn: 0.8278 0.1722 0.5000


# 2
# EuSn2

A relaxed structure of EuSn2 (PBE, Alexandria via LeMat-Bulk).

abc: 6.2920 6.2920 6.2920
angles: 60.00 60.00 60.00
Positions (direct):
Eu: 0.1250 0.1250 0.1250
Eu: 0.8750 0.8750 0.8750
Sn: 0.0000 0.5000 0.5000
Sn: 0.5000 0.0000 0.5000
Sn: 0.5000 0.5000 0.0000
Sn: 0.5000 0.5000 0.5000


# 3
# Eu3Sn

A relaxed structure of Eu3Sn (PBE, Alexandria via LeMat-Bulk).

abc: 7.2666 7.2666 5.7459
angles: 90.00 90.00 120.00
Positions (direct):
Eu: 0.1753 0.3507 0.2500
Eu: 0.1753 0.8247 0.2500
Eu: 0.3507 0.1753 0.7500
Eu: 0.6493 0.8247 0.2500
Eu: 0.8247 0.1753 0.7500
Eu: 0.8247 0.6493 0.7500
Sn: 0.3333 0.6667 0.7500
Sn: 0.6667 0.3333 0.2500


# 4
# Eu5Sn

A relaxed structure of Eu5Sn (PBE, Alexandria via LeMat-Bulk).

abc: 8.4520 8.4520 5.3149
angles: 90.00 90.00 144.95
Positions (direct):
Eu: 0.0000 0.0000 0.0000
Eu: 0.1518 0.8482 0.5000
Eu: 0.3431 0.6569 0.0000
Eu: 0.6569 0.3431 0.0000
Eu: 0.8482 0.1518 0.5000
Sn: 0.5000 0.5000 0.5000


# 5
# Eu3Sn

A relaxed structure of Eu3Sn (PBE, Alexandria via LeMat-Bulk).

abc: 5.6960 5.6960 5.6960
angles: 60.00 60.00 60.00
Positions (direct):
Eu: 0.0000 0.0000 0.0000
Eu: 0.2500 0.2500 0.2500
Eu: 0.7500 0.7500 0.7500
Sn: 0.5000 0.5000 0.5000


# 6
# Eu3Sn5

A relaxed structure of Eu3Sn5 (PBE, Alexandria via LeMat-Bulk).

abc: 6.6981 6.6981 10.6057
angles: 90.00 90.00 77.82
Positions (direct):
Eu: 0.1309 0.8691 0.7500
Eu: 0.2939 0.2939 0.0000
Eu: 0.2939 0.2939 0.5000
Eu: 0.7061 0.7061 0.0000
Eu: 0.7061 0.7061 0.5000
Eu: 0.8691 0.1309 0.2500
Sn: 0.0081 0.5746 0.2500
Sn: 0.1943 0.8057 0.0488
Sn: 0.1943 0.8057 0.4512
Sn: 0.4254 0.9919 0.2500
Sn: 0.4770 0.5230 0.2500
Sn: 0.5230 0.4770 0.7500
Sn: 0.5746 0.0081 0.7500
Sn: 0.8057 0.1943 0.5488
Sn: 0.8057 0.1943 0.9512
Sn: 0.9919 0.4254 0.7500


# 7
# SrEuSn4

A relaxed structure of SrEuSn4 (PBE, Alexandria via LeMat-Bulk).

abc: 6.3480 6.3480 6.3480
angles: 60.00 60.00 60.00
Positions (direct):
Sr: 0.0000 0.0000 0.0000
Eu: 0.2500 0.2500 0.2500
Sn: 0.1259 0.6247 0.6247
Sn: 0.6247 0.1259 0.6247
Sn: 0.6247 0.6247 0.1259
Sn: 0.6247 0.6247 0.6247


# 8
# SrEuSn2

A relaxed structure of SrEuSn2 (PBE, Alexandria via LeMat-Bulk).

abc: 4.1078 4.1078 7.5441
angles: 90.00 90.00 90.00
Positions (direct):
Sr: 0.0000 0.0000 0.0000
Eu: 0.0000 0.0000 0.5000
Sn: 0.5000 0.5000 0.2658
Sn: 0.5000 0.5000 0.7342


# 9
# SrEuSn2

A relaxed structure of SrEuSn2 (PBE, Alexandria via LeMat-Bulk).

abc: 5.1134 5.1134 4.7313
angles: 90.00 90.00 90.00
Positions (direct):
Sr: 0.0000 0.0000 0.0000
Eu: 0.5000 0.5000 0.0000
Sn: 0.0000 0.5000 0.5000
Sn: 0.5000 0.0000 0.5000


# 10
# TbEuSn

A relaxed structure of TbEuSn (PBE, Alexandria via LeMat-Bulk).

Summary:
offset from the most stable computed form	0.0	meV/atom

abc: 5.3023 5.3023 5.3023
angles: 60.00 60.00 60.00
Positions (direct):
Tb: 0.0000 0.0000 0.0000
Eu: 0.5000 0.5000 0.5000
Sn: 0.2500 0.2500 0.2500


# 11
# TbEuSn

A relaxed structure of TbEuSn (PBE, Alexandria via LeMat-Bulk).

Summary:
offset from the most stable computed form	39.7	meV/atom

abc: 5.3020 5.3020 3.7655
angles: 90.00 90.00 120.00
Positions (direct):
Tb: 0.0000 0.0000 0.0000
Eu: 0.3333 0.6667 0.4372
Sn: 0.6667 0.3333 0.7973


# 12
# TbEuSn

A relaxed structure of TbEuSn (PBE, Alexandria via LeMat-Bulk).

Summary:
offset from the most stable computed form	3.0	meV/atom

abc: 5.9389 5.9389 5.9389
angles: 139.03 139.03 59.34
Positions (direct):
Tb: 0.0000 0.0000 0.0000
Eu: 0.3057 0.3057 0.0000
Sn: 0.6395 0.6395 0.0000


# 13
# TbEuTlSn

A relaxed structure of TbEuTlSn (PBE, Alexandria via LeMat-Bulk).

abc: 5.4658 5.4658 5.4658
angles: 60.00 60.00 60.00
Positions (direct):
Tb: 0.0000 0.0000 0.0000
Eu: 0.5000 0.5000 0.5000
Tl: 0.2500 0.2500 0.2500
Sn: 0.7500 0.7500 0.7500


# 14
# TbEuZnSn

A relaxed structure of TbEuZnSn (PBE, Alexandria via LeMat-Bulk).

abc: 5.3193 5.3193 5.3193
angles: 60.00 60.00 60.00
Positions (direct):
Tb: 0.0000 0.0000 0.0000
Eu: 0.5000 0.5000 0.5000
Zn: 0.2500 0.2500 0.2500
Sn: 0.7500 0.7500 0.7500


# 15
# Eu2SnTe

A relaxed structure of Eu2SnTe (PBE, Alexandria via LeMat-Bulk).

abc: 3.8575 3.8575 8.3976
angles: 90.00 90.00 90.00
Positions (direct):
Eu: 0.0000 0.0000 0.2380
Eu: 0.0000 0.0000 0.7620
Sn: 0.5000 0.5000 0.5000
Te: 0.5000 0.5000 0.0000


# 16
# EuSnTe2

A relaxed structure of EuSnTe2 (PBE, Alexandria via LeMat-Bulk).

abc: 5.4970 5.4970 4.0152
angles: 90.00 90.00 90.00
Positions (direct):
Eu: 0.0000 0.0000 0.0000
Sn: 0.5000 0.5000 0.0000
Te: 0.0000 0.5000 0.5000
Te: 0.5000 0.0000 0.5000


# 17
# EuSnTe2

A relaxed structure of EuSnTe2 (PBE, Alexandria via LeMat-Bulk).

abc: 8.0347 8.0347 8.0347
angles: 33.21 33.21 33.21
Positions (direct):
Eu: 0.0000 0.0000 0.0000
Sn: 0.5000 0.5000 0.5000
Te: 0.2484 0.2484 0.2484
Te: 0.7516 0.7516 0.7516


# 18
# Eu3Sn5Te12

A relaxed structure of Eu3Sn5Te12 (PBE, Alexandria via LeMat-Bulk).

abc: 15.7498 15.7498 15.7498
angles: 109.47 109.47 109.47
Positions (direct):
Eu: 0.1250 0.2500 0.3750
Eu: 0.1250 0.3750 0.7500
Eu: 0.2500 0.3750 0.1250
Eu: 0.2500 0.8750 0.6250
Eu: 0.3750 0.1250 0.2500
Eu: 0.3750 0.7500 0.1250
Eu: 0.6250 0.2500 0.8750
Eu: 0.6250 0.8750 0.7500
Eu: 0.7500 0.1250 0.3750
Eu: 0.7500 0.6250 0.8750
Eu: 0.8750 0.6250 0.2500
Eu: 0.8750 0.7500 0.6250
Sn: 0.0000 0.0000 0.0000
Sn: 0.0000 0.0000 0.5000
Sn: 0.0000 0.5000 0.0000
Sn: 0.0000 0.5000 0.5000
Sn: 0.1250 0.7500 0.8750
Sn: 0.1250 0.8750 0.2500
Sn: 0.2500 0.1250 0.8750
Sn: 0.2500 0.6250 0.3750
Sn: 0.3750 0.2500 0.6250
Sn: 0.3750 0.6250 0.7500
Sn: 0.5000 0.0000 0.0000
Sn: 0.5000 0.0000 0.5000
Sn: 0.5000 0.5000 0.0000
Sn: 0.5000 0.5000 0.5000
Sn: 0.6250 0.3750 0.2500
Sn: 0.6250 0.7500 0.3750
Sn: 0.7500 0.3750 0.6250
Sn: 0.7500 0.8750 0.1250
Sn: 0.8750 0.1250 0.7500
Sn: 0.8750 0.2500 0.1250
Te: 0.0440 0.2183 0.1315
Te: 0.0440 0.3257 0.9125
Te: 0.0875 0.6315 0.4132
Te: 0.0868 0.7183 0.6743
Te: 0.0868 0.8685 0.4125
Te: 0.0875 0.9560 0.6743
Te: 0.1315 0.0440 0.2183
Te: 0.1315 0.5875 0.9132
Te: 0.1743 0.2183 0.5868
Te: 0.1743 0.4560 0.5875
Te: 0.2183 0.1315 0.0440
Te: 0.2183 0.5868 0.1743
Te: 0.2817 0.3257 0.9132
Te: 0.2817 0.4560 0.3685
Te: 0.3257 0.9125 0.0440
Te: 0.3257 0.9132 0.2817
Te: 0.3685 0.2817 0.4560
Te: 0.3685 0.5868 0.9125
Te: 0.4132 0.0875 0.6315
Te: 0.4125 0.0868 0.8685
Te: 0.4125 0.8257 0.5440
Te: 0.4132 0.8257 0.7817
Te: 0.4560 0.3685 0.2817
Te: 0.4560 0.5875 0.1743
Te: 0.5440 0.4125 0.8257
Te: 0.5440 0.6315 0.7183
Te: 0.5868 0.1743 0.2183
Te: 0.5875 0.1743 0.4560
Te: 0.5875 0.9132 0.1315
Te: 0.5868 0.9125 0.3685
Te: 0.6315 0.4132 0.0875
Te: 0.6315 0.7183 0.5440
Te: 0.6743 0.0868 0.7183
Te: 0.6743 0.0875 0.9560
Te: 0.7183 0.5440 0.6315
Te: 0.7183 0.6743 0.0868
Te: 0.7817 0.4132 0.8257
Te: 0.7817 0.8685 0.9560
Te: 0.8257 0.5440 0.4125
Te: 0.8257 0.7817 0.4132
Te: 0.8685 0.4125 0.0868
Te: 0.8685 0.9560 0.7817
Te: 0.9125 0.0440 0.3257
Te: 0.9132 0.1315 0.5875
Te: 0.9132 0.2817 0.3257
Te: 0.9125 0.3685 0.5868
Te: 0.9560 0.6743 0.0875
Te: 0.9560 0.7817 0.8685


# 19
# EuTh2Sn

A relaxed structure of EuTh2Sn (PBE, Alexandria via LeMat-Bulk).

Summary:
offset from the most stable computed form	322.6	meV/atom

abc: 12.5958 12.5958 12.5958
angles: 15.80 15.80 15.80
Positions (direct):
Eu: 0.0000 0.0000 0.0000
Th: 0.0927 0.0927 0.0927
Th: 0.9073 0.9073 0.9073
Sn: 0.5000 0.5000 0.5000


# 20
# EuThSn2

A relaxed structure of EuThSn2 (PBE, Alexandria via LeMat-Bulk).

Summary:
offset from the most stable computed form	123.3	meV/atom

abc: 5.5111 5.5111 5.5111
angles: 60.00 60.00 60.00
Positions (direct):
Eu: 0.0000 0.0000 0.0000
Th: 0.5000 0.5000 0.5000
Sn: 0.2500 0.2500 0.2500
Sn: 0.7500 0.7500 0.7500


| no. | total energy (eV per cell) | total magnetization (Bohr magnetons per cell) |
| --- | --- | --- |
| 1 | -31.7 | 7.08 |
| 2 | -39.6 | 13.99 |
| 3 | -73.3 | 43.31 |
| 4 | -56.6 | 7.50 |
| 5 | -36.2 | 22.75 |
| 6 | -111.5 | 42.24 |
| 7 | -31.0 | 6.99 |
| 8 | -22.3 | 6.99 |
| 9 | -22.4 | 7.05 |
| 10 | -20.2 | 7.72 |
| 11 | -20.0 | 7.55 |
| 12 | -20.1 | 8.26 |
| 13 | -23.2 | 7.18 |
| 14 | -22.1 | 7.49 |
| 15 | -31.7 | 13.79 |
| 16 | -23.8 | 6.85 |
| 17 | -24.3 | 7.00 |
| 18 | -399.5 | 81.36 |
| 19 | -28.8 | 7.34 |
| 20 | -27.5 | 7.17 |